This record from the Alexandria database describes crystalline Pm5AlAu4 at its relaxed geometry. The functional is PBE-GGA.

abc: 3.6771 3.6771 18.6392
angles: 90.00 90.00 90.00
Closest atoms and distances in Å follow each position.
Positions (direct):
Pm  0.5000  0.5000  0.1019  4 Au 3.17, 4 Al 3.22
Pm  0.5000  0.5000  0.3006  8 Au 3.21-3.22
Pm  0.5000  0.5000  0.5000  8 Au 3.19
Pm  0.5000  0.5000  0.6994  8 Au 3.21-3.22
Pm  0.5000  0.5000  0.8981  4 Au 3.17, 4 Al 3.22
Al  0.0000  0.0000  0.0000  8 Pm 3.22
Au  0.0000  0.0000  0.1987  8 Pm 3.17-3.22
Au  0.0000  0.0000  0.4013  8 Pm 3.19-3.21
Au  0.0000  0.0000  0.5987  8 Pm 3.19-3.21
Au  0.0000  0.0000  0.8013  8 Pm 3.17-3.22

Values from the calculation:
- Energy of formation: -16.112 kcal/mol of atoms

---

This record from the Alexandria database describes crystalline LaReHg2 at its relaxed geometry. The functional is PBE-GGA.

abc: 10.6646 10.6646 10.6646
angles: 16.60 16.60 16.60
Closest atoms and distances in Å follow each position.
Positions (direct):
Hg  0.0088  0.0088  0.0088  3 Re 2.95, 6 Hg 3.08
Hg  0.4912  0.4912  0.4912  3 Re 2.95, 6 Hg 3.08
La  0.2500  0.2500  0.2500  6 La 3.08, 6 Hg 3.41
Re  0.7500  0.7500  0.7500  6 Hg 2.95, 6 Re 3.08

Values from the calculation:
- Energy of formation: 13.598 kcal/mol of atoms
- Relative energy among the computed polymorphs: 261 meV/atom

---

This record from the Alexandria database describes crystalline Ce3S3O2 at its relaxed geometry. The functional is PBE-GGA.

abc: 3.7271 4.0609 10.7594
angles: 100.88 99.97 90.00
Closest atoms and distances in Å follow each position.
Positions (direct):
Ce  0.1882  0.1882  0.3765  4 O 2.27-2.39
Ce  0.0000  0.5000  0.0000  4 S 2.76
Ce  0.8118  0.8118  0.6235  4 O 2.27-2.39
S  0.6212  0.6212  0.2425  6 Ce 3.09-3.14, 2 S 3.24, 4 O 3.25-3.38
S  0.3788  0.3788  0.7575  6 Ce 3.09-3.14, 2 S 3.24, 4 O 3.25-3.38
S  0.5000  0.0000  0.0000  4 Ce 2.76
O  0.7509  0.2509  0.5017  4 Ce 2.27-2.39
O  0.2491  0.7491  0.4983  4 Ce 2.27-2.39

Values from the calculation:
- Formation energy without anion corrections: -241.7 kJ per mole of atoms

---

This record from the Alexandria database describes crystalline NaSiHgF6 at its relaxed geometry. The functional is PBE-GGA.

abc: 5.5951 5.5951 5.2609
angles: 90.01 89.99 59.97
Closest atoms and distances in Å follow each position.
Positions (direct):
Na  0.6666  0.6666  0.5000  6 F 2.32
Si  0.3333  0.3334  0.5000  6 F 1.72
Hg  0.9999  0.0000  0.0000  6 F 2.71
F  0.0768  0.3411  0.3127  1 Si 1.72
F  0.3411  0.0769  0.6872  1 Si 1.72
F  0.5820  0.3412  0.6873  1 Si 1.72
F  0.0765  0.5824  0.6871  1 Si 1.72
F  0.3412  0.5820  0.3127  1 Si 1.72
F  0.5823  0.0765  0.3129  1 Si 1.72

Values from the calculation:
- Formation energy without anion corrections: -248.1 kJ per mole of atoms

---

Number 1: magnetization 0.00 Bohr magnetons per cell, calculated total energy -47.6 eV per cell. Number 2: magnetization 0.62 Bohr magnetons per cell, calculated total energy -15.6 eV per cell. Number 3: magnetization 1.80 Bohr magnetons per cell, calculated total energy -60.1 eV per cell. Number 4: magnetization 0.85 Bohr magnetons per cell, calculated total energy -41.4 eV per cell.